# CsRb3Np2Te6 | the Alexandria database | PBE | relaxed
data_CsRb3Np2Te6
_space_group_name_H-M_alt 'P 1'
_space_group_IT_number 1
_cell_length_a 4.6802
_cell_length_b 10.4328
_cell_length_c 11.1595
_cell_angle_alpha 104.70
_cell_angle_beta 102.10
_cell_angle_gamma 90.00
loop_
_space_group_symop_operation_xyz
'x,y,z'
loop_
_atom_site_label
_atom_site_type_symbol
_atom_site_fract_x
_atom_site_fract_y
_atom_site_fract_z
Cs1 Cs 0.5000 0.0000 0.0000
Rb1 Rb 0.5000 0.5000 0.0000
Rb2 Rb 0.8452 0.1623 0.6904
Rb3 Rb 0.1548 0.8377 0.3096
Np1 Np 0.8264 0.6565 0.6527
Np2 Np 0.1736 0.3435 0.3473
Te1 Te 0.3217 0.8505 0.6433
Te2 Te 0.6790 0.5497 0.3579
Te3 Te 0.6783 0.1495 0.3567
Te4 Te 0.0347 0.2798 0.0694
Te5 Te 0.9653 0.7202 0.9306
Te6 Te 0.3210 0.4503 0.6421
# Space-group type: No. 12
# Formation energy (no corrections) (eV/atom): -0.865
# Magnetization (Bohr magnetons per cell): 6.00
# Total DFT energy (no corrections) (eV/atom): -4.91


# Cs3RbNp2Te6 | the Alexandria database | PBE | relaxed
data_Cs3RbNp2Te6
_space_group_name_H-M_alt 'P 1'
_space_group_IT_number 1
_cell_length_a 4.6898
_cell_length_b 10.6292
_cell_length_c 11.4102
_cell_angle_alpha 107.27
_cell_angle_beta 101.86
_cell_angle_gamma 90.00
loop_
_space_group_symop_operation_xyz
'x,y,z'
loop_
_atom_site_label
_atom_site_type_symbol
_atom_site_fract_x
_atom_site_fract_y
_atom_site_fract_z
Cs1 Cs 0.5000 0.5000 0.0000
Cs2 Cs 0.8464 0.1629 0.6928
Cs3 Cs 0.1536 0.8371 0.3072
Rb1 Rb 0.5000 0.0000 0.0000
Np1 Np 0.8270 0.6597 0.6540
Np2 Np 0.1730 0.3403 0.3460
Te1 Te 0.3246 0.8498 0.6491
Te2 Te 0.6807 0.5438 0.3614
Te3 Te 0.6754 0.1502 0.3509
Te4 Te 0.0353 0.2659 0.0706
Te5 Te 0.9647 0.7341 0.9294
Te6 Te 0.3193 0.4562 0.6386
# Space-group type: No. 12
# Formation energy (no corrections) (eV/atom): -0.886
# Magnetization (Bohr magnetons per cell): 6.00
# Total DFT energy (no corrections) (eV/atom): -4.91


# Cs2Np2RhS6 | the Alexandria database | PBE | relaxed
data_Cs2Np2RhS6
_space_group_name_H-M_alt 'P 1'
_space_group_IT_number 1
_cell_length_a 6.6052
_cell_length_b 6.6052
_cell_length_c 8.5934
_cell_angle_alpha 97.69
_cell_angle_beta 97.69
_cell_angle_gamma 118.93
loop_
_space_group_symop_operation_xyz
'x,y,z'
loop_
_atom_site_label
_atom_site_type_symbol
_atom_site_fract_x
_atom_site_fract_y
_atom_site_fract_z
Cs1 Cs 0.8301 0.1699 0.0000
Cs2 Cs 0.1699 0.8301 0.0000
Np1 Np 0.3322 0.6678 0.5000
Np2 Np 0.6678 0.3322 0.5000
Rh1 Rh 0.0000 0.0000 0.5000
S1 S 0.7491 0.7491 0.6714
S2 S 0.0622 0.3728 0.6740
S3 S 0.2509 0.2509 0.3286
S4 S 0.3728 0.0622 0.6740
S5 S 0.9378 0.6272 0.3260
S6 S 0.6272 0.9378 0.3260
# Space-group type: No. 12
# Formation energy (no corrections) (eV/atom): -1.110
# Magnetization (Bohr magnetons per cell): 7.00
# Total DFT energy (no corrections) (eV/atom): -6.54